No. 1
# ZnCr3Pd

A geometry-optimized ZnCr3Pd structure (GGA-PBEsol, the Alexandria database).

```
data_ZnCr3Pd
_chemical_formula_sum 'Zn1 Cr3 Pd1'
_symmetry_space_group_name_H-M 'P m -3 m'
_symmetry_Int_Tables_number 221
_symmetry_space_group_name_Hall '-P 4 2 3'
_cell_length_a 4.5268
_cell_length_b 4.5268
_cell_length_c 4.5268
_cell_angle_alpha 90.00
_cell_angle_beta 90.00
_cell_angle_gamma 90.00
loop_
_atom_site_label
_atom_site_type_symbol
_atom_site_fract_x
_atom_site_fract_y
_atom_site_fract_z
Zn1 Zn 0.0000 0.0000 0.0000
Cr1 Cr 0.0000 0.0000 0.5000
Pd1 Pd 0.5000 0.5000 0.5000
```

Values from the calculation:
Energy of formation ... 1565.8 meV per atom
Total magnetization ... 11.63 μB/f.u.

No. 2
# CrPt

A geometry-optimized CrPt structure (GGA-PBEsol, the Alexandria database).

```
data_CrPt
_chemical_formula_sum 'Cr1 Pt1'
_symmetry_space_group_name_H-M 'P 4/m m m'
_symmetry_Int_Tables_number 123
_symmetry_space_group_name_Hall '-P 4 2'
_cell_length_a 2.6286
_cell_length_b 2.6286
_cell_length_c 3.7997
_cell_angle_alpha 90.00
_cell_angle_beta 90.00
_cell_angle_gamma 90.00
loop_
_atom_site_label
_atom_site_type_symbol
_atom_site_fract_x
_atom_site_fract_y
_atom_site_fract_z
Cr1 Cr 0.0000 0.0000 0.0000
Pt1 Pt 0.5000 0.5000 0.5000
```

Values from the calculation:
Energy of formation ... -140.5 meV per atom
Total magnetization ... 0.76 μB/f.u.

No. 3
# CrPt3

A geometry-optimized CrPt3 structure (GGA-PBEsol, the Alexandria database).

```
data_CrPt3
_chemical_formula_sum 'Cr1 Pt3'
_symmetry_space_group_name_H-M 'P 4/m m m'
_symmetry_Int_Tables_number 123
_symmetry_space_group_name_Hall '-P 4 2'
_cell_length_a 2.6907
_cell_length_b 2.6907
_cell_length_c 7.7264
_cell_angle_alpha 90.00
_cell_angle_beta 90.00
_cell_angle_gamma 90.00
loop_
_atom_site_label
_atom_site_type_symbol
_atom_site_fract_x
_atom_site_fract_y
_atom_site_fract_z
Cr1 Cr 0.0000 0.0000 0.0000
Pt1 Pt 0.0000 0.0000 0.5000
Pt2 Pt 0.5000 0.5000 0.2287
```

Values from the calculation:
Energy of formation ... -188.9 meV per atom
Total magnetization ... 0.30 μB/f.u.

No. 4
# CrPt3

A geometry-optimized CrPt3 structure (GGA-PBEsol, the Alexandria database).

```
data_CrPt3
_chemical_formula_sum 'Cr2 Pt6'
_symmetry_space_group_name_H-M 'C m m m'
_symmetry_Int_Tables_number 65
_symmetry_space_group_name_Hall '-C 2 2'
_cell_length_a 5.4356
_cell_length_b 7.5952
_cell_length_c 2.8164
_cell_angle_alpha 90.00
_cell_angle_beta 90.00
_cell_angle_gamma 90.00
loop_
_atom_site_label
_atom_site_type_symbol
_atom_site_fract_x
_atom_site_fract_y
_atom_site_fract_z
Cr1 Cr 0.0000 0.0000 0.0000
Pt1 Pt 0.0000 0.5000 0.0000
Pt2 Pt 0.2500 0.2500 0.5000
```

Values from the calculation:
Energy of formation ... -98.4 meV per atom
Total magnetization ... 3.24 μB/f.u.

No. 5
# CrPt4

A geometry-optimized CrPt4 structure (GGA-PBEsol, the Alexandria database).

```
data_CrPt4
_chemical_formula_sum 'Cr2 Pt8'
_symmetry_space_group_name_H-M 'I 4/m'
_symmetry_Int_Tables_number 87
_symmetry_space_group_name_Hall '-I 4'
_cell_length_a 6.1068
_cell_length_b 6.1068
_cell_length_c 3.8364
_cell_angle_alpha 90.00
_cell_angle_beta 90.00
_cell_angle_gamma 90.00
loop_
_atom_site_label
_atom_site_type_symbol
_atom_site_fract_x
_atom_site_fract_y
_atom_site_fract_z
Cr1 Cr 0.0000 0.0000 0.0000
Pt1 Pt 0.1025 0.7046 0.5000
```

Values from the calculation:
Energy above the most stable polymorph in this dataset ... 0.0000 eV per atom
Energy of formation ... -132.9 meV per atom
Total magnetization ... 1.05 μB/f.u.

No. 6
# CrPt

A geometry-optimized CrPt structure (GGA-PBEsol, the Alexandria database).

```
data_CrPt
_chemical_formula_sum 'Cr2 Pt2'
_symmetry_space_group_name_H-M 'P m m n'
_symmetry_Int_Tables_number 59
_cell_length_a 2.6531
_cell_length_b 4.2718
_cell_length_c 4.6462
_cell_angle_alpha 90.00
_cell_angle_beta 90.00
_cell_angle_gamma 90.00
loop_
_symmetry_equiv_pos_as_xyz
'x,y,z'
'-x,-y,-z'
'-x+1/2,-y+1/2,z'
'x+1/2,y+1/2,-z'
'x+1/2,-y,-z'
'-x+1/2,y,z'
'-x,y+1/2,-z'
'x,-y+1/2,z'
loop_
_atom_site_label
_atom_site_type_symbol
_atom_site_fract_x
_atom_site_fract_y
_atom_site_fract_z
Cr1 Cr 0.2500 0.2500 0.0884
Pt1 Pt 0.2500 0.7500 0.3951
```

Values from the calculation:
Energy of formation ... -26.9 meV per atom
Total magnetization ... 0.00 μB/f.u.

No. 7
# Cr5Pt

A geometry-optimized Cr5Pt structure (GGA-PBEsol, the Alexandria database).

```
data_Cr5Pt
_chemical_formula_sum 'Cr5 Pt1'
_symmetry_space_group_name_H-M 'P -6 2 m'
_symmetry_Int_Tables_number 189
_symmetry_space_group_name_Hall 'P -6 -2'
_cell_length_a 4.4945
_cell_length_b 4.4945
_cell_length_c 4.1032
_cell_angle_alpha 90.00
_cell_angle_beta 90.00
_cell_angle_gamma 120.00
loop_
_atom_site_label
_atom_site_type_symbol
_atom_site_fract_x
_atom_site_fract_y
_atom_site_fract_z
Cr1 Cr 0.0000 0.3472 0.0000
Cr2 Cr 0.3333 0.6667 0.5000
Pt1 Pt 0.0000 0.0000 0.5000
```

Values from the calculation:
Energy of formation ... 198.1 meV per atom
Total magnetization ... 0.00 μB/f.u.

No. 8
# CrPt

A geometry-optimized CrPt structure (GGA-PBEsol, the Alexandria database).

```
data_CrPt
_chemical_formula_sum 'Cr6 Pt6'
_symmetry_space_group_name_H-M 'R -3 m'
_symmetry_Int_Tables_number 166
_symmetry_space_group_name_Hall '-R 3 2"'
_cell_length_a 4.0567
_cell_length_b 4.0567
_cell_length_c 11.6093
_cell_angle_alpha 90.00
_cell_angle_beta 90.00
_cell_angle_gamma 120.00
loop_
_atom_site_label
_atom_site_type_symbol
_atom_site_fract_x
_atom_site_fract_y
_atom_site_fract_z
Cr1 Cr 0.0000 0.0000 0.1649
Pt1 Pt 0.0000 0.0000 0.3879
```

Values from the calculation:
Energy of formation ... 100.5 meV per atom
Total magnetization ... 0.00 μB/f.u.

No. 9
# CrPt4

A geometry-optimized CrPt4 structure (GGA-PBEsol, the Alexandria database).

```
data_CrPt4
_chemical_formula_sum 'Cr2 Pt8'
_symmetry_space_group_name_H-M 'I 4/m m m'
_symmetry_Int_Tables_number 139
_symmetry_space_group_name_Hall '-I 4 2'
_cell_length_a 3.5981
_cell_length_b 3.5981
_cell_length_c 12.9115
_cell_angle_alpha 90.00
_cell_angle_beta 90.00
_cell_angle_gamma 90.00
loop_
_atom_site_label
_atom_site_type_symbol
_atom_site_fract_x
_atom_site_fract_y
_atom_site_fract_z
Cr1 Cr 0.0000 0.0000 0.0000
Pt1 Pt 0.0000 0.0000 0.4041
Pt2 Pt 0.0000 0.5000 0.2500
```

Values from the calculation:
Energy above the most stable polymorph in this dataset ... 0.4885 eV per atom
Energy of formation ... 355.6 meV per atom
Total magnetization ... 2.55 μB/f.u.

No. 10
# CrPt3

A geometry-optimized CrPt3 structure (GGA-PBEsol, the Alexandria database).

```
data_CrPt3
_chemical_formula_sum 'Cr1 Pt3'
_symmetry_space_group_name_H-M 'P m -3 m'
_symmetry_Int_Tables_number 221
_symmetry_space_group_name_Hall '-P 4 2 3'
_cell_length_a 3.8570
_cell_length_b 3.8570
_cell_length_c 3.8570
_cell_angle_alpha 90.00
_cell_angle_beta 90.00
_cell_angle_gamma 90.00
loop_
_atom_site_label
_atom_site_type_symbol
_atom_site_fract_x
_atom_site_fract_y
_atom_site_fract_z
Cr1 Cr 0.0000 0.0000 0.0000
Pt1 Pt 0.0000 0.5000 0.5000
```

Values from the calculation:
Energy of formation ... -234.4 meV per atom
Total magnetization ... 2.64 μB/f.u.

No. 11
# CrPt3

A geometry-optimized CrPt3 structure (GGA-PBEsol, the Alexandria database).

```
data_CrPt3
_chemical_formula_sum 'Cr1 Pt3'
_symmetry_space_group_name_H-M 'P m m m'
_symmetry_Int_Tables_number 47
_cell_length_a 2.7030
_cell_length_b 3.8104
_cell_length_c 5.4907
_cell_angle_alpha 90.00
_cell_angle_beta 90.00
_cell_angle_gamma 90.00
loop_
_symmetry_equiv_pos_as_xyz
'x,y,z'
'-x,-y,-z'
'-x,-y,z'
'x,y,-z'
'x,-y,-z'
'-x,y,z'
'-x,y,-z'
'x,-y,z'
loop_
_atom_site_label
_atom_site_type_symbol
_atom_site_fract_x
_atom_site_fract_y
_atom_site_fract_z
Cr1 Cr 0.0000 0.0000 0.0000
Pt1 Pt 0.0000 0.0000 0.5000
Pt2 Pt 0.5000 0.5000 0.2382
```

Values from the calculation:
Energy of formation ... -148.2 meV per atom
Total magnetization ... 1.28 μB/f.u.

No. 12
# RbCr2TcPt

A geometry-optimized RbCr2TcPt structure (GGA-PBEsol, the Alexandria database).

```
data_RbCr2TcPt
_chemical_formula_sum 'Rb1 Cr2 Tc1 Pt1'
_symmetry_space_group_name_H-M 'P 4/m m m'
_symmetry_Int_Tables_number 123
_symmetry_space_group_name_Hall '-P 4 2'
_cell_length_a 4.4012
_cell_length_b 4.4012
_cell_length_c 4.5512
_cell_angle_alpha 90.00
_cell_angle_beta 90.00
_cell_angle_gamma 90.00
loop_
_atom_site_label
_atom_site_type_symbol
_atom_site_fract_x
_atom_site_fract_y
_atom_site_fract_z
Rb1 Rb 0.0000 0.0000 0.0000
Cr1 Cr 0.0000 0.5000 0.0000
Tc1 Tc 0.0000 0.0000 0.5000
Pt1 Pt 0.5000 0.5000 0.5000
```

Values from the calculation:
Energy of formation ... 2933.7 meV per atom
Total magnetization ... 4.06 μB/f.u.

No. 13
# CrRePt2

A geometry-optimized CrRePt2 structure (GGA-PBEsol, the Alexandria database).

```
data_CrRePt2
_chemical_formula_sum 'Cr3 Re3 Pt6'
_symmetry_space_group_name_H-M 'R 3 m'
_symmetry_Int_Tables_number 160
_symmetry_space_group_name_Hall 'R 3 -2"'
_cell_length_a 2.7062
_cell_length_b 2.7062
_cell_length_c 26.5501
_cell_angle_alpha 90.00
_cell_angle_beta 90.00
_cell_angle_gamma 120.00
loop_
_atom_site_label
_atom_site_type_symbol
_atom_site_fract_x
_atom_site_fract_y
_atom_site_fract_z
Cr1 Cr 0.0000 0.0000 0.0000
Re1 Re 0.0000 0.0000 0.2540
Pt1 Pt 0.0000 0.0000 0.5017
Pt2 Pt 0.0000 0.0000 0.7445
```

Values from the calculation:
Energy of formation ... 2.7 meV per atom
Total magnetization ... 0.02 μB/f.u.

No. 14
# CrRe2Pt

A geometry-optimized CrRe2Pt structure (GGA-PBEsol, the Alexandria database).

```
data_CrRe2Pt
_chemical_formula_sum 'Cr4 Re8 Pt4'
_symmetry_space_group_name_H-M 'F -4 3 m'
_symmetry_Int_Tables_number 216
_symmetry_space_group_name_Hall 'F -4 2 3'
_cell_length_a 6.1168
_cell_length_b 6.1168
_cell_length_c 6.1168
_cell_angle_alpha 90.00
_cell_angle_beta 90.00
_cell_angle_gamma 90.00
loop_
_atom_site_label
_atom_site_type_symbol
_atom_site_fract_x
_atom_site_fract_y
_atom_site_fract_z
Cr1 Cr 0.0000 0.0000 0.0000
Re1 Re 0.0000 0.0000 0.5000
Re2 Re 0.2500 0.2500 0.2500
Pt1 Pt 0.2500 0.2500 0.7500
```

Values from the calculation:
Energy of formation ... 282.2 meV per atom
Total magnetization ... 1.90 μB/f.u.

No. 15
# Cr4RePt

A geometry-optimized Cr4RePt structure (GGA-PBEsol, the Alexandria database).

```
data_Cr4RePt
_chemical_formula_sum 'Cr16 Re4 Pt4'
_symmetry_space_group_name_H-M 'F -4 3 m'
_symmetry_Int_Tables_number 216
_symmetry_space_group_name_Hall 'F -4 2 3'
_cell_length_a 6.6390
_cell_length_b 6.6390
_cell_length_c 6.6390
_cell_angle_alpha 90.00
_cell_angle_beta 90.00
_cell_angle_gamma 90.00
loop_
_atom_site_label
_atom_site_type_symbol
_atom_site_fract_x
_atom_site_fract_y
_atom_site_fract_z
Cr1 Cr 0.1246 0.1246 0.1246
Re1 Re 0.2500 0.2500 0.7500
Pt1 Pt 0.0000 0.0000 0.5000
```

Values from the calculation:
Energy of formation ... -68.2 meV per atom
Total magnetization ... 0.00 μB/f.u.

No. 16
# CrPt2Rh

A geometry-optimized CrPt2Rh structure (GGA-PBEsol, the Alexandria database).

```
data_CrPt2Rh
_chemical_formula_sum 'Cr1 Pt2 Rh1'
_symmetry_space_group_name_H-M 'P 4 m m'
_symmetry_Int_Tables_number 99
_cell_length_a 2.6809
_cell_length_b 2.6809
_cell_length_c 7.6087
_cell_angle_alpha 90.00
_cell_angle_beta 90.00
_cell_angle_gamma 90.00
loop_
_symmetry_equiv_pos_as_xyz
'x,y,z'
'-y,x,z'
'-x,-y,z'
'y,-x,z'
'-x,y,z'
'y,x,z'
'x,-y,z'
'-y,-x,z'
loop_
_atom_site_label
_atom_site_type_symbol
_atom_site_fract_x
_atom_site_fract_y
_atom_site_fract_z
Cr1 Cr 0.0000 0.0000 0.0000
Pt1 Pt 0.0000 0.0000 0.5136
Pt2 Pt 0.5000 0.5000 0.2365
Rh1 Rh 0.5000 0.5000 0.7807
```

Values from the calculation:
Energy of formation ... -160.1 meV per atom
Total magnetization ... 0.00 μB/f.u.

No. 17
# CrPtRh2

A geometry-optimized CrPtRh2 structure (GGA-PBEsol, the Alexandria database).

```
data_CrPtRh2
_chemical_formula_sum 'Cr2 Pt2 Rh4'
_symmetry_space_group_name_H-M 'C 1 m 1'
_symmetry_Int_Tables_number 8
_cell_length_a 8.8435
_cell_length_b 2.6753
_cell_length_c 4.6049
_cell_angle_alpha 90.00
_cell_angle_beta 100.66
_cell_angle_gamma 90.00
loop_
_symmetry_equiv_pos_as_xyz
'x,y,z'
'x,-y,z'
'x+1/2,y+1/2,z'
'x+1/2,-y+1/2,z'
loop_
_atom_site_label
_atom_site_type_symbol
_atom_site_fract_x
_atom_site_fract_y
_atom_site_fract_z
Cr1 Cr 0.0000 0.0000 0.0000
Pt1 Pt 0.2527 0.0000 0.7480
Rh1 Rh 0.2429 0.5000 0.2377
Rh2 Rh 0.4966 0.0000 0.4847
```

Values from the calculation:
Energy of formation ... -56.5 meV per atom
Total magnetization ... 1.13 μB/f.u.

No. 18
# CrPtRh

A geometry-optimized CrPtRh structure (GGA-PBEsol, the Alexandria database).

```
data_CrPtRh
_chemical_formula_sum 'Cr2 Pt2 Rh2'
_symmetry_space_group_name_H-M 'I m m 2'
_symmetry_Int_Tables_number 44
_cell_length_a 2.6545
_cell_length_b 3.6743
_cell_length_c 8.1327
_cell_angle_alpha 90.00
_cell_angle_beta 90.00
_cell_angle_gamma 90.00
loop_
_symmetry_equiv_pos_as_xyz
'x,y,z'
'-x,-y,z'
'-x,y,z'
'x,-y,z'
'x+1/2,y+1/2,z+1/2'
'-x+1/2,-y+1/2,z+1/2'
'-x+1/2,y+1/2,z+1/2'
'x+1/2,-y+1/2,z+1/2'
loop_
_atom_site_label
_atom_site_type_symbol
_atom_site_fract_x
_atom_site_fract_y
_atom_site_fract_z
Cr1 Cr 0.0000 0.0000 0.0000
Pt1 Pt 0.0000 0.0000 0.6701
Rh1 Rh 0.0000 0.0000 0.3503
```

Values from the calculation:
Energy above the most stable polymorph in this dataset ... 0.0320 eV per atom
Energy of formation ... -153.4 meV per atom
Total magnetization ... 0.04 μB/f.u.

No. 19
# Cr4PtRh

A geometry-optimized Cr4PtRh structure (GGA-PBEsol, the Alexandria database).

```
data_Cr4PtRh
_chemical_formula_sum 'Cr16 Pt4 Rh4'
_symmetry_space_group_name_H-M 'F -4 3 m'
_symmetry_Int_Tables_number 216
_symmetry_space_group_name_Hall 'F -4 2 3'
_cell_length_a 6.6226
_cell_length_b 6.6226
_cell_length_c 6.6226
_cell_angle_alpha 90.00
_cell_angle_beta 90.00
_cell_angle_gamma 90.00
loop_
_atom_site_label
_atom_site_type_symbol
_atom_site_fract_x
_atom_site_fract_y
_atom_site_fract_z
Cr1 Cr 0.1252 0.1252 0.1252
Pt1 Pt 0.0000 0.0000 0.5000
Rh1 Rh 0.2500 0.2500 0.7500
```

Values from the calculation:
Energy of formation ... -59.6 meV per atom
Total magnetization ... 0.00 μB/f.u.

No. 20
# CrPt2Rh

A geometry-optimized CrPt2Rh structure (GGA-PBEsol, the Alexandria database).

```
data_CrPt2Rh
_chemical_formula_sum 'Cr1 Pt2 Rh1'
_symmetry_space_group_name_H-M 'P m m 2'
_symmetry_Int_Tables_number 25
_cell_length_a 2.6755
_cell_length_b 3.7458
_cell_length_c 5.4731
_cell_angle_alpha 90.00
_cell_angle_beta 90.00
_cell_angle_gamma 90.00
loop_
_symmetry_equiv_pos_as_xyz
'x,y,z'
'-x,-y,z'
'-x,y,z'
'x,-y,z'
loop_
_atom_site_label
_atom_site_type_symbol
_atom_site_fract_x
_atom_site_fract_y
_atom_site_fract_z
Cr1 Cr 0.0000 0.0000 0.0000
Pt1 Pt 0.0000 0.0000 0.5176
Pt2 Pt 0.5000 0.5000 0.2474
Rh1 Rh 0.5000 0.5000 0.7756
```

Values from the calculation:
Energy of formation ... -129.8 meV per atom
Total magnetization ... 0.67 μB/f.u.